Entry 1:
A relaxed La3SnPb2 crystal. Source: Alexandria via LeMat-Bulk, functional GGA-PBE.

Calculated values
The value obtained for the distance to the lowest polymorph of the same formula is 0 meV per atom. The value obtained for the energy of formation from the pure elements is -0.6006 eV per atom. As for the energy: -29.8 eV/f.u.

Unit cell a=9.490 b=9.490 c=6.542 alpha=100.73 beta=100.73 gamma=41.40
Element x y z (fractional)
La 0.129 0.871 0.750
La 0.215 0.454 0.399
La 0.454 0.215 0.899
La 0.546 0.785 0.101
La 0.785 0.546 0.601
La 0.871 0.129 0.250
Sn 0.374 0.626 0.250
Sn 0.626 0.374 0.750
Pb 0.052 0.276 0.075
Pb 0.276 0.052 0.575
Pb 0.724 0.948 0.425
Pb 0.948 0.724 0.925



Entry 2:
A relaxed Na2VSnB crystal. Source: Alexandria via LeMat-Bulk, functional GGA-PBE.

Calculated values
The value obtained for the energy of formation from the pure elements is 1.5999 eV per atom. As for the energy: -14.4 eV/f.u.

Unit cell a=5.529 b=5.529 c=5.189 alpha=90.00 beta=90.00 gamma=90.00
Element x y z (fractional)
Na 0.000 0.500 0.000
Na 0.500 0.000 0.000
V 0.000 0.000 0.000
Sn 0.000 0.000 0.500
B 0.500 0.500 0.500



Entry 3:
A relaxed La4PmSc2 crystal. Source: Alexandria via LeMat-Bulk, functional GGA-PBE.

Calculated values
The value obtained for the energy of formation from the pure elements is 0.2006 eV per atom. As for the energy: -35.7 eV/f.u.

Unit cell a=8.004 b=8.004 c=16.891 alpha=90.98 beta=90.98 gamma=154.06
Element x y z (fractional)
La 0.107 0.742 0.923
La 0.258 0.893 0.577
La 0.292 0.396 0.580
La 0.396 0.292 0.080
La 0.604 0.708 0.920
La 0.708 0.604 0.420
La 0.742 0.107 0.423
La 0.893 0.258 0.077
Pm 0.313 0.687 0.750
Pm 0.687 0.313 0.250
Sc 0.012 0.988 0.250
Sc 0.362 0.638 0.250
Sc 0.638 0.362 0.750
Sc 0.988 0.012 0.750



Entry 4:
A relaxed Rb3Pu2HfTe6 crystal. Source: Alexandria via LeMat-Bulk, functional GGA-PBE.

Calculated values
For the formation energy (no corrections), the calculation gives -1041 meV/atom. As for the energy: -72.9 eV/f.u.

Unit cell a=7.796 b=7.796 c=8.915 alpha=98.41 beta=98.41 gamma=120.00
Element x y z (fractional)
Rb 0.000 0.000 0.000
Rb 0.328 0.672 0.000
Rb 0.672 0.328 0.000
Pu 0.166 0.834 0.500
Pu 0.834 0.166 0.500
Hf 0.500 0.500 0.500
Te 0.122 0.435 0.304
Te 0.255 0.255 0.698
Te 0.435 0.122 0.304
Te 0.565 0.878 0.696
Te 0.745 0.745 0.302
Te 0.878 0.565 0.696



Entry 5:
A relaxed Cs2ReIBr5 crystal. Source: Alexandria via LeMat-Bulk, functional GGA-PBE.

Calculated values
For the formation energy (no corrections), the calculation gives -979 meV/atom. As for the energy: -32.9 eV/f.u.

Unit cell a=7.883 b=7.883 c=7.883 alpha=119.23 beta=119.23 gamma=91.34
Element x y z (fractional)
Cs 0.000 0.500 0.500
Cs 0.500 0.000 0.500
Re 0.250 0.250 0.000
I 0.001 0.001 0.000
Br 0.024 0.024 0.549
Br 0.024 0.475 0.000
Br 0.475 0.024 0.000
Br 0.475 0.475 0.451
Br 0.481 0.481 0.000



Entry 6:
A relaxed SiP2SO crystal. Source: Alexandria via LeMat-Bulk, functional GGA-PBE.

Calculated values
The value obtained for the distance to the lowest polymorph of the same formula is 1118 meV per atom. For the formation energy (no corrections), the calculation gives 1114 meV/atom. As for the energy: -19.8 eV/f.u.

Unit cell a=4.505 b=4.505 c=4.263 alpha=90.00 beta=90.00 gamma=90.00
Element x y z (fractional)
Si 0.000 0.000 0.000
P 0.000 0.500 0.000
P 0.500 0.000 0.000
S 0.000 0.000 0.500
O 0.500 0.500 0.500



Entry 7:
A relaxed LaBeSe2 crystal. Source: Alexandria via LeMat-Bulk, functional GGA-PBE.

Calculated values
For the formation energy (no corrections), the calculation gives -1161 meV/atom. As for the energy: -20.3 eV/f.u.

Unit cell a=5.937 b=5.937 c=4.477 alpha=92.19 beta=92.19 gamma=37.95
Element x y z (fractional)
La 0.000 0.000 0.000
Be 0.736 0.736 0.716
Se 0.281 0.281 0.962
Se 0.560 0.560 0.504



Entry 8:
A relaxed Ag2IrAu crystal. Source: Alexandria via LeMat-Bulk, functional GGA-PBE.

Calculated values
The value obtained for the distance to the lowest polymorph of the same formula is 25 meV per atom. The value obtained for the energy of formation from the pure elements is 0.2411 eV per atom. As for the energy: -16.9 eV/f.u.

Unit cell a=2.792 b=2.792 c=9.928 alpha=90.00 beta=90.00 gamma=118.32
Element x y z (fractional)
Ag 0.000 0.000 0.244
Ag 0.000 0.000 0.756
Ir 0.500 0.500 0.000
Au 0.500 0.500 0.500